First-principles (PBE with a Hubbard U) data for a geometry-optimized PuFeAg2O6 structure, as listed in Alexandria via LeMat-Bulk.

a b c (Å): 5.6496 5.6496 4.1452
angles (deg): 90.00 90.00 90.00
Space group P4/mmm (No. 123)
One atom of each set of equivalent atoms:
Pu (0.0000, 0.0000, 0.0000) [1 per cell]
Fe (0.5000, 0.5000, 0.0000) [1 per cell]
Ag (0.0000, 0.5000, 0.5000) [2 per cell]
O (0.0000, 0.0000, 0.5000) [1 per cell]
O (0.2465, 0.2465, 0.0000) [4 per cell]
O (0.5000, 0.5000, 0.5000) [1 per cell]

Electronic total energy: -6.817 eV per atom
D(E_F): 0.78 states/eV per cell
Spin magnetization: 6.0 μB per formula unit